No. 1
The following is a meta-GGA SCAN calculation of a crystal of SbRu2Pt relaxed with PBEsol, from the Alexandria database.

Geometry as CIF:
```
data_SbRu2Pt
_cell_length_a 2.894
_cell_length_b 3.804
_cell_length_c 5.664
_cell_angle_alpha 90.00
_cell_angle_beta 90.00
_cell_angle_gamma 90.00
_space_group_name_H-M_alt 'P m m 2'
_space_group_IT_number 25
_space_group_name_Hall 'P 2 -2'
loop_
_atom_site_label
_atom_site_type_symbol
_atom_site_fract_x
_atom_site_fract_y
_atom_site_fract_z
Sb1 Sb 0.000 0.000 0.000
Ru1 Ru 0.000 0.000 0.523
Ru2 Ru 0.500 0.500 0.734
Pt1 Pt 0.500 0.500 0.274
```

## Properties
E: -176.356 eV/f.u.

***

No. 2
The following is a meta-GGA SCAN calculation of a crystal of SbRu2Pt relaxed with PBEsol, from the Alexandria database.

Geometry as CIF:
```
data_SbRu2Pt
_cell_length_a 9.017
_cell_length_b 2.943
_cell_length_c 4.717
_cell_angle_alpha 90.00
_cell_angle_beta 100.25
_cell_angle_gamma 90.00
_space_group_name_H-M_alt 'C 1 m 1'
_space_group_IT_number 8
_space_group_name_Hall 'C -2y'
loop_
_atom_site_label
_atom_site_type_symbol
_atom_site_fract_x
_atom_site_fract_y
_atom_site_fract_z
Sb1 Sb 0.000 0.000 0.000
Ru1 Ru 0.251 0.500 0.267
Ru2 Ru 0.493 0.000 0.486
Pt1 Pt 0.243 0.000 0.734
```

## Properties
E: -176.593 eV/f.u.

***

No. 3
The following is a meta-GGA SCAN calculation of a crystal of SbRu2Pt relaxed with PBEsol, from the Alexandria database.

Geometry as CIF:
```
data_SbRu2Pt
_cell_length_a 3.985
_cell_length_b 3.985
_cell_length_c 3.831
_cell_angle_alpha 90.00
_cell_angle_beta 90.00
_cell_angle_gamma 90.00
_space_group_name_H-M_alt 'P 4/m m m'
_space_group_IT_number 123
_space_group_name_Hall '-P 4 2'
loop_
_atom_site_label
_atom_site_type_symbol
_atom_site_fract_x
_atom_site_fract_y
_atom_site_fract_z
Sb1 Sb 0.000 0.000 0.000
Ru1 Ru 0.000 0.500 0.500
Pt1 Pt 0.500 0.500 0.000
```

## Properties
E: -176.848 eV/f.u.

***

No. 4
The following is a meta-GGA SCAN calculation of a crystal of Sc2RuPt relaxed with PBEsol, from the Alexandria database.

Geometry as CIF:
```
data_Sc2RuPt
_cell_length_a 3.235
_cell_length_b 3.235
_cell_length_c 6.279
_cell_angle_alpha 90.00
_cell_angle_beta 90.00
_cell_angle_gamma 90.00
_space_group_name_H-M_alt 'P 4/m m m'
_space_group_IT_number 123
_space_group_name_Hall '-P 4 2'
loop_
_atom_site_label
_atom_site_type_symbol
_atom_site_fract_x
_atom_site_fract_y
_atom_site_fract_z
Sc1 Sc 0.000 0.000 0.242
Ru1 Ru 0.500 0.500 0.000
Pt1 Pt 0.500 0.500 0.500
```

## Properties
E: -138.118 eV/f.u.

***

No. 5
The following is a meta-GGA SCAN calculation of a crystal of Sc2RuPt relaxed with PBEsol, from the Alexandria database.

Geometry as CIF:
```
data_Sc2RuPt
_cell_length_a 3.040
_cell_length_b 4.180
_cell_length_c 5.413
_cell_angle_alpha 90.00
_cell_angle_beta 90.00
_cell_angle_gamma 90.00
_space_group_name_H-M_alt 'P m m 2'
_space_group_IT_number 25
_space_group_name_Hall 'P 2 -2'
loop_
_atom_site_label
_atom_site_type_symbol
_atom_site_fract_x
_atom_site_fract_y
_atom_site_fract_z
Sc1 Sc 0.000 0.000 0.000
Sc2 Sc 0.500 0.500 0.350
Ru1 Ru 0.500 0.500 0.857
Pt1 Pt 0.000 0.000 0.512
```

## Properties
E: -136.394 eV/f.u.

***

No. 6
The following is a meta-GGA SCAN calculation of a crystal of RuPtSe relaxed with PBEsol, from the Alexandria database.

Geometry as CIF:
```
data_RuPtSe
_cell_length_a 5.928
_cell_length_b 5.928
_cell_length_c 5.928
_cell_angle_alpha 90.00
_cell_angle_beta 90.00
_cell_angle_gamma 90.00
_space_group_name_H-M_alt 'F -4 3 m'
_space_group_IT_number 216
_space_group_name_Hall 'F -4 2 3'
loop_
_atom_site_label
_atom_site_type_symbol
_atom_site_fract_x
_atom_site_fract_y
_atom_site_fract_z
Ru1 Ru 0.000 0.000 0.000
Pt1 Pt 0.250 0.250 0.250
Se1 Se 0.250 0.250 0.750
```

## Properties
E: -124.351 eV/f.u.